Computed, not measured: a geometry-optimized PmGaWO6 structure at the PBE with a Hubbard U level of DFT.

Cell: 5.207 5.207 10.138 Å, 90.00 90.00 120.00°
Fractional coordinates of all 18 atoms:
Pm1 0.000 0.000 0.000
Pm2 0.000 0.000 0.500
Ga1 0.333 0.667 0.250
Ga2 0.667 0.333 0.750
W1 0.333 0.667 0.750
W2 0.667 0.333 0.250
O1 0.008 0.371 0.642
O2 0.008 0.637 0.858
O3 0.363 0.371 0.858
O4 0.363 0.992 0.642
O5 0.371 0.008 0.142
O6 0.371 0.363 0.358
O7 0.629 0.637 0.642
O8 0.629 0.992 0.858
O9 0.637 0.008 0.358
O10 0.637 0.629 0.142
O11 0.992 0.363 0.142
O12 0.992 0.629 0.358

**Symmetry**: P-31c
**Energy**: -7.370 eV per atom